First-principles (PBE) data for crystalline BeNiAgAs at its relaxed geometry, as listed in OQMD via LeMat-Bulk.

Lattice parameters (Å, degrees): 4.321 4.321 4.321 60.00 60.00 60.00
Element x y z (fractional)
Ag  0.250  0.250  0.250
As  0.000  0.000  0.000
Be  0.750  0.750  0.750
Ni  0.500  0.500  0.500

## Properties
**Total DFT energy (no corrections)**: -3.798 eV per atom
**Symmetry**: F-43m (216)



First-principles (PBE) data for crystalline BeAgAsO at its relaxed geometry, as listed in OQMD via LeMat-Bulk.

Lattice parameters (Å, degrees): 3.943 3.943 7.906 90.00 90.00 90.01
Element x y z (fractional)
Ag  0.250  0.750  0.107
Ag  0.750  0.250  0.893
As  0.750  0.250  0.345
As  0.250  0.750  0.655
Be  0.250  0.250  0.500
Be  0.750  0.750  0.500
O  0.250  0.250  0.000
O  0.750  0.750  0.000

## Properties
**Total DFT energy (no corrections)**: -3.809 eV per atom
**Symmetry**: P4/nmm (129)



First-principles (PBE) data for crystalline BeAgAsO at its relaxed geometry, as listed in OQMD via LeMat-Bulk.

Lattice parameters (Å, degrees): 2.970 7.424 5.334 90.00 90.00 90.00
Element x y z (fractional)
Ag  0.000  0.699  0.438
Ag  0.000  0.301  0.938
As  0.000  0.356  0.424
As  0.000  0.644  0.924
Be  0.500  0.926  0.058
Be  0.500  0.074  0.558
O  0.500  0.954  0.335
O  0.500  0.046  0.835

## Properties
**Total DFT energy (no corrections)**: -4.823 eV per atom
**Symmetry**: Pmc2_1 (26)



First-principles (PBE) data for crystalline BeAgAsO at its relaxed geometry, as listed in OQMD via LeMat-Bulk.

Lattice parameters (Å, degrees): 3.545 3.545 9.794 90.00 90.00 90.00
Element x y z (fractional)
Ag  0.000  0.000  0.500
Ag  0.500  0.500  0.500
As  0.500  0.000  0.285
As  0.000  0.500  0.715
Be  0.500  0.000  0.010
Be  0.000  0.500  0.990
O  0.000  0.000  0.000
O  0.500  0.500  0.000

## Properties
**Total DFT energy (no corrections)**: -4.659 eV per atom
**Symmetry**: P4/nmm (129)